(1)
Rb2InI | PBE | optimized geometry

- Calculated total energy: -0.143 Ry per atom
- Space-group type: Fm-3m (225)
- Uncorrected formation energy: -0.385 eV/atom
- Calculated density: 3.55 Mg/m³
- E above lowest polymorph: 0.17 eV/f.u.

abc: 9.1716 9.1716 9.1716
angles: 90.00 90.00 90.00
Positions (direct):
Rb: 0.2500 0.2500 0.2500
Rb: 0.2500 0.2500 0.7500
Rb: 0.2500 0.7500 0.2500
Rb: 0.2500 0.7500 0.7500
Rb: 0.7500 0.2500 0.2500
Rb: 0.7500 0.2500 0.7500
Rb: 0.7500 0.7500 0.2500
Rb: 0.7500 0.7500 0.7500
In: 0.0000 0.0000 0.0000
In: 0.0000 0.5000 0.5000
In: 0.5000 0.0000 0.5000
In: 0.5000 0.5000 0.0000
I: 0.0000 0.0000 0.5000
I: 0.0000 0.5000 0.0000
I: 0.5000 0.0000 0.0000
I: 0.5000 0.5000 0.5000

---

(2)
ScMo3H | PBE | optimized geometry

- Calculated total energy: -0.598 Ry per atom
- Space-group type: Pm-3m (221)
- Calculated density: 7.85 Mg/m³
- E above lowest polymorph: 0.00 eV/f.u.

abc: 4.1325 4.1325 4.1325
angles: 90.00 90.00 90.00
Positions (direct):
Sc: 0.0000 0.0000 0.0000
Mo: 0.0000 0.5000 0.5000
Mo: 0.5000 0.0000 0.5000
Mo: 0.5000 0.5000 0.0000
H: 0.5000 0.5000 0.5000

---

(3)
NbMo3S | PBE | optimized geometry

- Calculated total energy: -0.656 Ry per atom
- Space-group type: Pm-3m (221)
- Uncorrected formation energy: 0.412 eV/atom
- Calculated density: 7.93 Mg/m³
- E above lowest polymorph: 0.00 eV/f.u.

abc: 4.4216 4.4216 4.4216
angles: 90.00 90.00 90.00
Positions (direct):
Nb: 0.0000 0.0000 0.0000
Mo: 0.0000 0.5000 0.5000
Mo: 0.5000 0.0000 0.5000
Mo: 0.5000 0.5000 0.0000
S: 0.5000 0.5000 0.5000